# Th8Ge3OsSe4 (PBE-GGA, optimized geometry)
data_Th8Ge3OsSe4
_cell_length_a 8.5679
_cell_length_b 8.5679
_cell_length_c 20.7848
_cell_angle_alpha 90.00
_cell_angle_beta 90.00
_cell_angle_gamma 120.00
_symmetry_space_group_name_H-M 'R -3 m'
_symmetry_Int_Tables_number 166
_symmetry_space_group_name_Hall '-R 3 2"'
loop_
_atom_site_label
_atom_site_fract_x
_atom_site_fract_y
_atom_site_fract_z
Th1 0.0000 0.0000 0.2470
Th2 0.0141 0.5071 0.2434
Ge1 0.0000 0.5000 0.5000
Os1 0.0000 0.0000 0.5000
Se1 0.0000 0.0000 0.0000
Se2 0.0000 0.5000 0.0000
# E	-7.309	eV per atom
# energy relative to the elements, uncorrected	-18.57	eV/f.u.
# magnetization	0.000	μB per cell